Entry 1:
First-principles (PBEsol) data for a relaxed structure of Ba2TaHg, as listed in Alexandria via LeMat-Bulk.

Geometry as CIF:
```
data_Ba2TaHg
_symmetry_space_group_name_H-M 'P 1'
_symmetry_Int_Tables_number 1
_cell_length_a 3.644
_cell_length_b 3.644
_cell_length_c 9.755
_cell_angle_alpha 90.00
_cell_angle_beta 90.00
_cell_angle_gamma 90.00
loop_
_symmetry_equiv_pos_as_xyz
'x,y,z'
loop_
_atom_site_label
_atom_site_type_symbol
_atom_site_fract_x
_atom_site_fract_y
_atom_site_fract_z
Ba1 Ba 0.000 0.000 0.000
Ba2 Ba 0.500 0.500 0.389
Ta1 Ta 0.500 0.500 0.755
Hg1 Hg 0.000 0.000 0.630
```

## Properties
Formation energy = 0.4608 eV/atom
Volume = 130 Å³/f.u.
SG = P4mm, No. 99

---

Entry 2:
First-principles (PBEsol) data for a relaxed structure of BaTa2TiHg, as listed in Alexandria via LeMat-Bulk.

Geometry as CIF:
```
data_BaTa2TiHg
_symmetry_space_group_name_H-M 'P 1'
_symmetry_Int_Tables_number 1
_cell_length_a 4.770
_cell_length_b 4.770
_cell_length_c 5.875
_cell_angle_alpha 90.00
_cell_angle_beta 90.00
_cell_angle_gamma 90.00
loop_
_symmetry_equiv_pos_as_xyz
'x,y,z'
loop_
_atom_site_label
_atom_site_type_symbol
_atom_site_fract_x
_atom_site_fract_y
_atom_site_fract_z
Ba1 Ba 0.000 0.000 0.000
Ta1 Ta 0.000 0.500 0.500
Ta2 Ta 0.500 0.000 0.500
Ti1 Ti 0.000 0.000 0.500
Hg1 Hg 0.500 0.500 0.000
```

## Properties
Formation energy = 1.4023 eV/atom
Volume = 134 Å³/f.u.
SG = P4/mmm, No. 123

---

Entry 3:
First-principles (PBEsol) data for a relaxed structure of Ba2TcHg, as listed in Alexandria via LeMat-Bulk.

Geometry as CIF:
```
data_Ba2TcHg
_symmetry_space_group_name_H-M 'P 1'
_symmetry_Int_Tables_number 1
_cell_length_a 3.716
_cell_length_b 3.716
_cell_length_c 29.954
_cell_angle_alpha 90.00
_cell_angle_beta 90.00
_cell_angle_gamma 120.00
loop_
_symmetry_equiv_pos_as_xyz
'x,y,z'
loop_
_atom_site_label
_atom_site_type_symbol
_atom_site_fract_x
_atom_site_fract_y
_atom_site_fract_z
Ba1 Ba 0.000 0.000 0.240
Ba2 Ba 0.000 0.000 0.760
Ba3 Ba 0.333 0.667 0.427
Ba4 Ba 0.333 0.667 0.906
Ba5 Ba 0.667 0.333 0.094
Ba6 Ba 0.667 0.333 0.573
Tc1 Tc 0.000 0.000 0.500
Tc2 Tc 0.333 0.667 0.167
Tc3 Tc 0.667 0.333 0.833
Hg1 Hg 0.000 0.000 0.000
Hg2 Hg 0.333 0.667 0.667
Hg3 Hg 0.667 0.333 0.333
```

## Properties
Formation energy = 0.6497 eV/atom
Energy above the most stable polymorph in this dataset = 24.23 kJ/mol of atoms
Volume = 119 Å³/f.u.
SG = R-3m, No. 166